1.
This record from the Alexandria database describes AcCe5Tl8 after structural relaxation. The functional is PBE.

Output
DFT formation energy ... -0.163 eV/atom
DOS at the Fermi energy ... 2.96 states/eV per atom
M_tot ... 6.249 μB/f.u.

CIF file:
```
data_AcCe5Tl8
_chemical_formula_sum 'Ac2 Ce10 Tl16'
_cell_length_a 9.561
_cell_length_b 9.561
_cell_length_c 9.746
_cell_angle_alpha 90.00
_cell_angle_beta 90.00
_cell_angle_gamma 90.00
_space_group_name_H-M_alt 'I -4'
_space_group_IT_number 82
_space_group_name_Hall 'I -4'
loop_
_atom_site_label
_atom_site_fract_x
_atom_site_fract_y
_atom_site_fract_z
Ac1 0.000 0.000 0.000
Ce1 0.000 0.500 0.750
Ce2 0.132 0.245 0.371
Tl1 0.082 0.347 0.046
Tl2 0.090 0.169 0.696
```



2.
This record from the Alexandria database describes Ac3Ce2Tl4 after structural relaxation. The functional is PBE.

Output
DFT formation energy ... -0.192 eV/atom
DOS at the Fermi energy ... 2.22 states/eV per atom
M_tot ... 3.133 μB/f.u.

CIF file:
```
data_Ac3Ce2Tl4
_chemical_formula_sum 'Ac6 Ce4 Tl8'
_cell_length_a 10.697
_cell_length_b 5.278
_cell_length_c 10.814
_cell_angle_alpha 90.00
_cell_angle_beta 97.34
_cell_angle_gamma 90.00
_space_group_name_H-M_alt 'C 1 2/m 1'
_space_group_IT_number 12
_space_group_name_Hall '-C 2y'
loop_
_atom_site_label
_atom_site_fract_x
_atom_site_fract_y
_atom_site_fract_z
Ac1 0.000 0.000 0.000
Ac2 0.160 0.500 0.580
Ce1 0.157 0.500 0.209
Tl1 0.016 0.000 0.342
Tl2 0.176 0.500 0.901
```



3.
This record from the Alexandria database describes Ac2CeTl6 after structural relaxation. The functional is PBE.

Output
DFT formation energy ... -0.123 eV/atom
DOS at the Fermi energy ... 1.31 states/eV per atom
M_tot ... 1.122 μB/f.u.

CIF file:
```
data_Ac2CeTl6
_chemical_formula_sum 'Ac2 Ce1 Tl6'
_cell_length_a 9.4156
_cell_length_b 9.4156
_cell_length_c 3.8741
_cell_angle_alpha 90.00
_cell_angle_beta 90.00
_cell_angle_gamma 120.00
_space_group_name_H-M_alt 'P -6 2 m'
_space_group_IT_number 189
_space_group_name_Hall 'P -6 -2'
loop_
_atom_site_label
_atom_site_fract_x
_atom_site_fract_y
_atom_site_fract_z
Ac1 0.3333 0.6667 0.0000
Ce1 0.0000 0.0000 0.5000
Tl1 0.0000 0.3643 0.5000
Tl2 0.0000 0.7126 0.0000
```



4.
This record from the Alexandria database describes Ac2CeTl3 after structural relaxation. The functional is PBE.

Output
DFT formation energy ... -0.294 eV/atom
DOS at the Fermi energy ... 2.17 states/eV per atom
M_tot ... 1.196 μB/f.u.

CIF file:
```
data_Ac2CeTl3
_chemical_formula_sum 'Ac2 Ce1 Tl3'
_cell_length_a 4.056
_cell_length_b 4.056
_cell_length_c 12.211
_cell_angle_alpha 90.00
_cell_angle_beta 90.00
_cell_angle_gamma 90.00
_space_group_name_H-M_alt 'P 4/m m m'
_space_group_IT_number 123
_space_group_name_Hall '-P 4 2'
loop_
_atom_site_label
_atom_site_fract_x
_atom_site_fract_y
_atom_site_fract_z
Ac1 0.000 0.000 0.174
Ce1 0.000 0.000 0.500
Tl1 0.500 0.500 0.000
Tl2 0.500 0.500 0.350
```



5.
This record from the Alexandria database describes Ac3Ce2Tl6 after structural relaxation. The functional is PBE.

Output
DFT formation energy ... -0.159 eV/atom
DOS at the Fermi energy ... 1.34 states/eV per atom
M_tot ... 1.780 μB/f.u.

CIF file:
```
data_Ac3Ce2Tl6
_chemical_formula_sum 'Ac6 Ce4 Tl12'
_cell_length_a 5.057
_cell_length_b 5.057
_cell_length_c 28.854
_cell_angle_alpha 90.00
_cell_angle_beta 90.00
_cell_angle_gamma 90.00
_space_group_name_H-M_alt 'I 4/m m m'
_space_group_IT_number 139
_space_group_name_Hall '-I 4 2'
loop_
_atom_site_label
_atom_site_fract_x
_atom_site_fract_y
_atom_site_fract_z
Ac1 0.000 0.000 0.000
Ac2 0.000 0.000 0.197
Ce1 0.000 0.000 0.455
Tl1 0.000 0.000 0.315
Tl2 0.000 0.500 0.111
```



6.
This record from the Alexandria database describes AcCe2Tl after structural relaxation. The functional is PBE.

Output
DFT formation energy ... -0.007 eV/atom
DOS at the Fermi energy ... 3.45 states/eV per atom
M_tot ... 1.758 μB/f.u.

CIF file:
```
data_AcCe2Tl
_chemical_formula_sum 'Ac1 Ce2 Tl1'
_cell_length_a 3.751
_cell_length_b 3.751
_cell_length_c 9.270
_cell_angle_alpha 90.00
_cell_angle_beta 90.00
_cell_angle_gamma 90.00
_space_group_name_H-M_alt 'P 4/m m m'
_space_group_IT_number 123
_space_group_name_Hall '-P 4 2'
loop_
_atom_site_label
_atom_site_fract_x
_atom_site_fract_y
_atom_site_fract_z
Ac1 0.000 0.000 0.000
Ce1 0.500 0.500 0.276
Tl1 0.000 0.000 0.500
```